# 1
Crystalline Ho8CdTc2 at its relaxed geometry, computed with PBE.

Unit cell a=8.9579 b=8.9579 c=5.2989 alpha=107.19 beta=107.19 gamma=121.96
Closest atoms and distances in Å follow each position.
Positions (direct):
Ho 0.0000 0.0000 0.0000  2 Tc 2.87
Ho 0.2512 0.9186 0.5844  1 Cd 2.99, 3 Tc 3.09-3.25, 3 Ho 3.29-3.30
Ho 0.3350 0.5563 0.4454  1 Tc 2.67
Ho 0.4062 0.8252 0.1151  3 Tc 2.88-3.07
Ho 0.5563 0.3350 0.4454  1 Tc 2.67
Ho 0.7262 0.7262 0.2268  1 Cd 2.95, 2 Ho 3.25
Ho 0.8252 0.4062 0.1151  3 Tc 2.88-3.07
Ho 0.9186 0.2512 0.5844  1 Cd 2.99, 3 Tc 3.09-3.25, 3 Ho 3.29-3.30
Cd 0.2985 0.2985 0.7984  3 Ho 2.95-2.99
Tc 0.6497 0.9773 0.8121  3 Ho 2.67-2.88
Tc 0.9773 0.6497 0.8121  3 Ho 2.67-2.88

Calculated values
total magnetic moment: 0.000 μB per atom
formation energy: -0.09 eV per atom
ΔE to the lowest computed polymorph: 0.000 eV/atom

***

# 2
Crystalline TlHgPbAu at its relaxed geometry, computed with PBE.

Unit cell a=3.7964 b=3.7964 c=9.1801 alpha=101.88 beta=101.88 gamma=60.86
Closest atoms and distances in Å follow each position.
Positions (direct):
Tl 0.0000 0.0000 0.0000  3 Hg 3.20-3.21, 2 Pb 3.55
Hg 0.4244 0.4244 0.2610  3 Au 2.88-2.89, 3 Tl 3.20-3.21
Pb 0.2389 0.2389 0.6858  3 Au 2.92
Au 0.8302 0.8302 0.4703  3 Hg 2.88-2.89, 3 Pb 2.92

Calculated values
total magnetic moment: 0.000 μB per atom
formation energy: 0.02 eV per atom
ΔE to the lowest computed polymorph: 0.000 eV/atom

***

# 3
Crystalline FeHgRu2Pb at its relaxed geometry, computed with PBE.

Unit cell a=4.4921 b=4.4921 c=4.9557 alpha=90.00 beta=90.00 gamma=90.00
Closest atoms and distances in Å follow each position.
Positions (direct):
Fe 0.0000 0.0000 0.0000  4 Ru 2.25, 2 Hg 2.48
Hg 0.0000 0.0000 0.5000  2 Fe 2.48
Ru 0.0000 0.5000 0.0000  2 Fe 2.25
Ru 0.5000 0.0000 0.0000  2 Fe 2.25
Pb 0.5000 0.5000 0.5000  4 Hg 3.18, 8 Ru 3.34

Calculated values
total magnetic moment: 0.000 μB per atom
formation energy: 1.02 eV per atom
ΔE to the lowest computed polymorph: 0.000 eV/atom

***

# 4
Crystalline CaLa2NbHg at its relaxed geometry, computed with PBE.

Unit cell a=5.4487 b=5.4487 c=5.9608 alpha=90.00 beta=90.00 gamma=90.00
Closest atoms and distances in Å follow each position.
Positions (direct):
Ca 0.0000 0.0000 0.0000  2 Nb 2.98
La 0.0000 0.5000 0.5000  2 Nb 2.72
La 0.5000 0.0000 0.5000  2 Nb 2.72
Nb 0.0000 0.0000 0.5000  4 La 2.72, 2 Ca 2.98
Hg 0.5000 0.5000 0.0000  4 Ca 3.85, 8 La 4.04

Calculated values
total magnetic moment: 0.096 μB per atom
formation energy: 0.37 eV per atom

***

# 5
Crystalline MnBe2Cl at its relaxed geometry, computed with PBE.

Unit cell a=4.1764 b=4.1764 c=2.8233 alpha=90.00 beta=90.00 gamma=90.00
Closest atoms and distances in Å follow each position.
Positions (direct):
Mn 0.0000 0.0000 0.0000  8 Be 2.52
Be 0.0000 0.5000 0.5000  4 Cl 2.52, 4 Mn 2.52
Be 0.5000 0.0000 0.5000  4 Cl 2.52, 4 Mn 2.52
Cl 0.5000 0.5000 0.0000  8 Be 2.52

Calculated values
total magnetic moment: 0.636 μB per atom
energy relative to the elements, uncorrected: 0.539 eV per atom
ΔE to the lowest computed polymorph: 0.469 eV/atom

***

# 6
Crystalline HfAlS2Cl at its relaxed geometry, computed with PBE.

Unit cell a=4.9671 b=4.9671 c=5.0223 alpha=90.00 beta=90.00 gamma=90.00
Closest atoms and distances in Å follow each position.
Positions (direct):
Hf 0.0000 0.0000 0.0000  4 S 2.48, 2 Cl 2.51
Al 0.5000 0.5000 0.5000  4 Cl 3.51, 8 S 3.53
S 0.0000 0.5000 0.0000  2 Hf 2.48
S 0.5000 0.0000 0.0000  2 Hf 2.48
Cl 0.0000 0.0000 0.5000  2 Hf 2.51

Calculated values
total magnetic moment: 0.000 μB per atom
energy relative to the elements, uncorrected: -0.824 eV per atom
ΔE to the lowest computed polymorph: 0.000 eV/atom

***

# 7
Crystalline CaLaIn2 at its relaxed geometry, computed with PBE.

Unit cell a=3.7426 b=4.9497 c=6.7972 alpha=90.00 beta=90.00 gamma=90.00
Closest atoms and distances in Å follow each position.
Positions (direct):
Ca 0.0000 0.0000 0.0000  6 In 3.23-3.57
La 0.5000 0.5000 0.6728  6 In 3.30-3.50
In 0.0000 0.0000 0.4750  2 Ca 3.23-3.57, 4 La 3.38
In 0.5000 0.5000 0.1879  2 La 3.30-3.50, 4 Ca 3.36, 4 In 3.67

Calculated values
total magnetic moment: 0.000 μB per atom
formation energy: -0.24 eV per atom

***

# 8
Crystalline SrZnRe3 at its relaxed geometry, computed with PBE.

Unit cell a=4.8199 b=4.8199 c=4.8199 alpha=90.00 beta=90.00 gamma=90.00
Closest atoms and distances in Å follow each position.
Positions (direct):
Sr 0.0000 0.0000 0.0000  6 Re 2.41
Zn 0.5000 0.5000 0.5000  12 Re 3.41
Re 0.0000 0.0000 0.5000  2 Sr 2.41
Re 0.0000 0.5000 0.0000  2 Sr 2.41
Re 0.5000 0.0000 0.0000  2 Sr 2.41

Calculated values
total magnetic moment: 0.519 μB per atom
formation energy: 3.73 eV per atom
ΔE to the lowest computed polymorph: 1.834 eV/atom

***

# 9
Crystalline InGaTe2I at its relaxed geometry, computed with PBE.

Unit cell a=5.4377 b=5.4377 c=5.8423 alpha=90.00 beta=90.00 gamma=90.00
Closest atoms and distances in Å follow each position.
Positions (direct):
In 0.0000 0.0000 0.0000  4 I 3.85, 8 Te 3.99
Ga 0.5000 0.5000 0.5000  4 Te 2.72, 2 I 2.92
Te 0.0000 0.5000 0.5000  2 Ga 2.72
Te 0.5000 0.0000 0.5000  2 Ga 2.72
I 0.5000 0.5000 0.0000  2 Ga 2.92

Calculated values
total magnetic moment: 0.000 μB per atom
energy relative to the elements, uncorrected: 0.024 eV per atom
ΔE to the lowest computed polymorph: 0.000 eV/atom

***

# 10
Crystalline CaAcBiTe at its relaxed geometry, computed with PBE.

Unit cell a=8.0899 b=8.0899 c=8.0899 alpha=34.24 beta=34.24 gamma=34.24
Closest atoms and distances in Å follow each position.
Positions (direct):
Ca 0.0000 0.0000 0.0000  3 Bi 3.27, 3 Te 3.32
Ac 0.5054 0.5054 0.5054  3 Bi 3.35, 3 Te 3.44
Bi 0.2562 0.2562 0.2562  3 Ca 3.27, 3 Ac 3.35
Te 0.7485 0.7485 0.7485  3 Ca 3.32, 3 Ac 3.44

Calculated values
total magnetic moment: 0.000 μB per atom
energy relative to the elements, uncorrected: -1.265 eV per atom
ΔE to the lowest computed polymorph: 0.000 eV/atom

***

# 11
Crystalline LaEr4Te5 at its relaxed geometry, computed with PBE.

Unit cell a=11.6432 b=11.6432 c=11.6432 alpha=158.50 beta=149.18 gamma=37.89
Closest atoms and distances in Å follow each position.
Positions (direct):
La 0.0000 0.0000 0.0000  6 Te 3.09-3.23
Er 0.2050 0.2050 0.0000  6 Te 3.04-3.10
Er 0.4027 0.4027 0.0000  6 Te 3.05-3.10
Er 0.5973 0.5973 0.0000  6 Te 3.05-3.10
Er 0.7950 0.7950 0.0000  6 Te 3.04-3.10
Te 0.1084 0.6084 0.5000  4 Er 3.04-3.10, 2 La 3.23
Te 0.3032 0.8032 0.5000  6 Er 3.07-3.10
Te 0.5000 0.0000 0.5000  4 Er 3.05, 2 La 3.09
Te 0.6968 0.1968 0.5000  6 Er 3.07-3.10
Te 0.8916 0.3916 0.5000  4 Er 3.04-3.10, 2 La 3.23

Calculated values
total magnetic moment: 0.000 μB per atom
energy relative to the elements, uncorrected: -1.277 eV per atom

***

# 12
Crystalline CrPd4Se8 at its relaxed geometry, computed with PBE.

Unit cell a=7.2772 b=7.2772 c=7.2772 alpha=62.44 beta=62.44 gamma=62.44
Closest atoms and distances in Å follow each position.
Positions (direct):
Cr 0.0000 0.0000 0.0000  6 Se 2.58
Pd 0.0000 0.0000 0.5000  6 Se 2.53-2.55
Pd 0.0000 0.5000 0.0000  6 Se 2.53-2.55
Pd 0.5000 0.0000 0.0000  6 Se 2.53-2.55
Pd 0.5000 0.5000 0.5000  6 Se 2.67
Se 0.2287 0.7540 0.7540  3 Pd 2.53-2.67, 1 Cr 2.58
Se 0.2425 0.2425 0.2425  3 Pd 2.55
Se 0.2460 0.2460 0.7713  3 Pd 2.53-2.67, 1 Cr 2.58
Se 0.2460 0.7713 0.2460  3 Pd 2.53-2.67, 1 Cr 2.58
Se 0.7540 0.2287 0.7540  3 Pd 2.53-2.67, 1 Cr 2.58
Se 0.7540 0.7540 0.2287  3 Pd 2.53-2.67, 1 Cr 2.58
Se 0.7575 0.7575 0.7575  3 Pd 2.55
Se 0.7713 0.2460 0.2460  3 Pd 2.53-2.67, 1 Cr 2.58

Calculated values
total magnetic moment: 0.276 μB per atom
energy relative to the elements, uncorrected: -0.239 eV per atom

***

Density of states at the Fermi level
In order: 0.730; 0.434; 1.233; 0.957; 0.386; 0.056; 0.878; 1.366; 1.033; 0.002; 0.671; 0.391
Unit: states/eV/atom